Crystalline NpAlNi2O6 at its relaxed geometry, computed with PBE+U.

a = 5.7433 Å, b = 5.7433 Å, c = 4.0189 Å
α = 90.00°, β = 90.00°, γ = 90.00°
With the nearest neighbours (Å) after each atom.
Space group P4mm (No. 99)
Symmetry-distinct sites (fractional):
Np1 0.0000 0.0000 0.0000 [1 per cell]  6 O 1.99-2.13
Al1 0.5000 0.5000 0.9976 [1 per cell]  5 O 1.88-1.95
Ni1 0.0000 0.5000 0.1545 [2 per cell]  4 O 2.08
O1 0.0000 0.0000 0.5056 [1 per cell]  2 Np 1.99-2.03
O2 0.2617 0.2617 0.0495 [4 per cell]  1 Al 1.95, 2 Ni 2.08, 1 Np 2.13
O3 0.5000 0.5000 0.5307 [1 per cell]  1 Al 1.88

## Properties
* DOS at the Fermi energy: 5.4 states/eV/cell
* calculated density: 5.98 g/cm³
* crystal system: tetragonal
* E: -6.88 eV/atom
* total magnetization: 2.00 μB/f.u.